K2MgCd, PBEsol geometry, DFT SCAN; ΔE to the lowest computed polymorph = 41 meV/atom; SG = Amm2, No. 38; E = -12.956 eV per atom; DOS at the Fermi energy = 2.4 states/eV per cell; energy of formation = 1.3 kcal/mol of atoms
1.0
5.201 0.000 0.000
0.000 2.324 6.801
0.000 -2.324 6.801
K Mg Cd
2 1 1
Cartesian
0.000 0.000 0.000
2.601 0.000 4.242
2.601 0.000 8.271
0.000 0.000 9.603